## CoHg4Ir (meta-GGA SCAN)

Data for a crystal of CoHg4Ir relaxed with PBEsol.

Properties
- DFT formation energy (eV per atom) = 1.0368
- crystal system = cubic
- E_tot (eV per cell) = -354.85
- D(E_F) (states/eV/atom) = 0.481
- total magnetic moment (μB/atom) = 0.38

Unit cell a=5.4538 b=5.4538 c=5.4538 alpha=60.00 beta=60.00 gamma=60.00
Each line ends with the local moment (μB).
Positions (direct):
Hg: 0.8750 0.3750 0.3750  -0.02
Ir: 0.7500 0.7500 0.7500  0.25
Hg: 0.3750 0.3750 0.8750  -0.02
Co: 0.0000 0.0000 0.0000  2.25
Hg: 0.3750 0.3750 0.3750  -0.02
Hg: 0.3750 0.8750 0.3750  -0.02